HfH2Ru2 (PBE, relaxed); theoretical density = 11.6 g/cm³; E_tot = -7.19 eV/atom; spin magnetization = 0.00 μB per atom
1.0
-1.609 1.609 5.275
1.609 -1.609 5.275
1.609 1.609 -5.275
Hf H Ru
1 2 2
Direct
0.000 0.000 0.000 Hf
0.250 0.750 0.500 H
0.750 0.250 0.500 H
0.353 0.353 0.000 Ru
0.647 0.647 0.000 Ru

Tl2IN (PBE, relaxed); theoretical density = 7.5 g/cm³; raw formation energy = 1.607 eV per formula unit; E_tot = -3.25 eV/atom; spin magnetization = 0.00 μB per atom
1.0
-3.600 3.600 4.722
3.600 -3.600 4.722
3.600 3.600 -4.722
Tl I N
4 2 2
Direct
0.005 0.125 0.380 Tl
0.375 0.995 0.120 Tl
0.745 0.625 0.620 Tl
0.875 0.255 0.880 Tl
0.250 0.750 0.500 I
0.500 0.500 0.000 I
0.000 0.000 0.000 N
0.750 0.250 0.500 N

ZrGaBi2 (PBE, relaxed); theoretical density = 6.5 g/cm³; formation enthalpy at 0 K = 25 kJ/mol of atoms; E_tot = -4.57 eV/atom; spin magnetization = 0.00 μB per atom
1.0
-3.375 3.375 6.518
3.375 -3.375 6.518
3.375 3.375 -6.518
Zr Ga Bi
2 2 4
Direct
0.000 0.000 0.000 Zr
0.750 0.250 0.500 Zr
0.250 0.750 0.500 Ga
0.500 0.500 0.000 Ga
0.129 0.625 0.004 Bi
0.375 0.379 0.504 Bi
0.621 0.125 0.996 Bi
0.875 0.871 0.496 Bi

NaGdGa4 (PBE, relaxed); theoretical density = 6.3 g/cm³; formation enthalpy at 0 K = -32 kJ/mol of atoms; E_tot = -4.91 eV/atom; spin magnetization = 1.21 μB per atom
1.0
0.000 3.930 3.930
3.930 0.000 3.930
3.930 3.930 0.000
Na Gd Ga
1 1 4
Direct
0.000 0.000 0.000 Na
0.750 0.750 0.750 Gd
0.375 0.375 0.375 Ga
0.375 0.375 0.874 Ga
0.375 0.874 0.375 Ga
0.874 0.375 0.375 Ga

In2SbPb2 (PBE, relaxed); theoretical density = 8.2 g/cm³; raw formation energy = 0.647 eV per formula unit; E_tot = -3.27 eV/atom; spin magnetization = 0.00 μB per atom
1.0
-2.095 2.095 8.831
2.095 -2.095 8.831
2.095 2.095 -8.831
In Sb Pb
2 1 2
Direct
0.250 0.750 0.500 In
0.750 0.250 0.500 In
0.000 0.000 0.000 Sb
0.406 0.406 0.000 Pb
0.594 0.594 0.000 Pb

NpPaN4 (PBE, relaxed); theoretical density = 11.6 g/cm³; raw formation energy = -7.354 eV per formula unit; E_tot = -10.52 eV/atom; spin magnetization = 0.00 μB per atom
1.0
1.889 1.091 6.045
-1.889 1.091 6.045
0.000 -2.182 6.045
Np Pa N
1 1 4
Direct
0.000 0.000 0.000 Np
0.500 0.500 0.500 Pa
0.118 0.118 0.118 N
0.369 0.369 0.369 N
0.631 0.631 0.631 N
0.882 0.882 0.882 N

NdZrCo10 (PBE, relaxed); theoretical density = 8.4 g/cm³; formation enthalpy at 0 K = -7 kJ/mol of atoms; E_tot = -7.11 eV/atom; spin magnetization = 1.12 μB per atom
1.0
3.964 0.000 0.000
0.000 4.872 0.000
0.000 0.000 8.483
Nd Zr Co
1 1 10
Direct
0.000 0.000 0.000 Nd
0.000 0.500 0.500 Zr
0.000 0.000 0.345 Co
0.000 0.000 0.655 Co
0.000 0.500 0.182 Co
0.000 0.500 0.818 Co
0.500 0.000 0.500 Co
0.500 0.256 0.259 Co
0.500 0.256 0.741 Co
0.500 0.500 0.000 Co
0.500 0.744 0.259 Co
0.500 0.744 0.741 Co

Sr2Zn3CdGa4 (PBE, relaxed); theoretical density = 5.8 g/cm³; formation enthalpy at 0 K = -32 kJ/mol of atoms; E_tot = -2.36 eV/atom; spin magnetization = 0.00 μB per atom
1.0
4.449 0.000 0.000
0.000 4.449 0.000
0.000 0.000 11.015
Sr Zn Cd Ga
2 3 1 4
Direct
0.000 0.500 0.244 Sr
0.500 0.000 0.756 Sr
0.000 0.500 0.872 Zn
0.500 0.000 0.128 Zn
0.500 0.500 0.500 Zn
0.000 0.000 0.500 Cd
0.000 0.000 0.000 Ga
0.000 0.500 0.641 Ga
0.500 0.000 0.359 Ga
0.500 0.500 0.000 Ga